No. 1
Density functional theory data (PBE) for a geometry-optimized K2NiPS4 structure.

Lattice parameters (Å, degrees): 5.8558 7.0245 11.5918 83.96 75.37 65.37
Closest atoms and distances in Å follow each position.
Fractional coordinates of all 16 atoms:
K (0.1782, 0.0000, 0.6436)  8 S 3.36-3.73
K (0.8218, 0.0000, 0.3564)  8 S 3.36-3.73
K (0.5718, 0.5000, 0.8564)  8 S 3.36-3.73
K (0.9282, 0.5000, 0.1436)  8 S 3.36-3.73
Ni (0.7500, 0.5000, 0.5000)  4 S 2.31
Ni (0.0000, 0.0000, 0.0000)  4 S 2.31
P (0.2500, 0.5000, 0.5000)  4 S 2.07
P (0.5000, 0.0000, 0.0000)  4 S 2.07
S (0.3263, 0.8117, 0.0969)  1 P 2.07, 1 Ni 2.31
S (0.2349, 0.1883, 0.9031)  1 P 2.07, 1 Ni 2.31
S (0.8620, 0.8117, 0.9031)  1 P 2.07, 1 Ni 2.31
S (0.5768, 0.1883, 0.0969)  1 P 2.07, 1 Ni 2.31
S (0.4237, 0.6883, 0.4031)  1 P 2.07, 1 Ni 2.31
S (0.5151, 0.3117, 0.5969)  1 P 2.07, 1 Ni 2.31
S (0.8880, 0.6883, 0.5969)  1 P 2.07, 1 Ni 2.31
S (0.1732, 0.3117, 0.4031)  1 P 2.07, 1 Ni 2.31

Values from the calculation:
**Formation energy (no corrections)**: -0.63 eV per atom
**Raw total energy**: -0.3210 Ry/atom

No. 2
Density functional theory data (PBE) for a geometry-optimized HoHfMg structure.

Lattice parameters (Å, degrees): 3.6977 3.6977 12.8505 98.27 98.27 90.00
Closest atoms and distances in Å follow each position.
Fractional coordinates of all 6 atoms:
Hf (0.2760, 0.2760, 0.5521)  4 Hf 2.92, 5 Ho 3.24-3.25
Hf (0.7240, 0.7240, 0.4479)  4 Hf 2.92, 5 Ho 3.24-3.25
Ho (0.1473, 0.1473, 0.2945)  5 Hf 3.24-3.25, 4 Mg 3.42
Ho (0.8527, 0.8527, 0.7055)  5 Hf 3.24-3.25, 4 Mg 3.42
Mg (0.5597, 0.5597, 0.1193)  1 Mg 3.00
Mg (0.4403, 0.4403, 0.8807)  1 Mg 3.00

Values from the calculation:
**Energy relative to the elements**: 189 meV/atom
**Raw total energy**: -0.3812 Ry/atom
**Excess energy over the best structure of this formula in the dataset**: 174.3 meV per atom

No. 3
Density functional theory data (PBE) for a geometry-optimized NdEr2Tl structure.

Lattice parameters (Å, degrees): 3.6376 3.6376 9.0984 90.00 90.00 90.00
Closest atoms and distances in Å follow each position.
Fractional coordinates of all 4 atoms:
Tl (0.5000, 0.5000, 0.0000)  8 Er 3.28, 4 Tl 3.64
Nd (0.5000, 0.5000, 0.5000)  8 Er 3.60, 4 Nd 3.64
Er (0.0000, 0.0000, 0.7763)  4 Tl 3.28, 4 Nd 3.60, 4 Er 3.64
Er (0.0000, 0.0000, 0.2237)  4 Tl 3.28, 4 Nd 3.60, 4 Er 3.64

Values from the calculation:
**Energy relative to the elements**: -172 meV/atom
**Raw total energy**: -0.3114 Ry/atom
**Excess energy over the best structure of this formula in the dataset**: 4.2 meV per atom

No. 4
Density functional theory data (PBE) for a geometry-optimized KScSb2 structure.

Lattice parameters (Å, degrees): 4.0908 3.2288 9.3036 69.66 90.00 90.00
Closest atoms and distances in Å follow each position.
Fractional coordinates of all 4 atoms:
K (0.5000, 0.7500, 0.7500)  2 K 3.23
Sb (0.0000, 0.9491, 0.0506)  4 Sc 3.13, 3 Sb 3.23-3.48
Sb (0.0000, 0.5509, 0.4494)  4 Sc 3.13, 3 Sb 3.23-3.48
Sc (0.5000, 0.2500, 0.2500)  8 Sb 3.13, 2 Sc 3.23

Values from the calculation:
**Formation energy (no corrections)**: -0.58 eV per atom
**Raw total energy**: -0.3303 Ry/atom
**Excess energy over the best structure of this formula in the dataset**: 0.0 meV per atom

Let's list total magnetization in order: 1.00; 0.00; 0.00; 0.15 μB/f.u..